# 1
The following is a PBE calculation of crystalline PuIn2Pd3 at its relaxed geometry, from Alexandria via LeMat-Bulk.

The formation enthalpy at 0 K is -0.456 eV per atom. The value obtained for the total moment is 5.559 μB/f.u.

Lattice parameters (Å, degrees): 3.260 3.260 10.798 90.00 90.00 90.00
Space group P4/mmm (No. 123)
Inequivalent atoms, fractional coordinates:
Pu: 0.000 0.000 0.000
In: 0.000 0.000 0.343
Pd: 0.500 0.500 0.194
Pd: 0.500 0.500 0.500

---

# 2
The following is a PBE calculation of crystalline Li6Ca5 at its relaxed geometry, from Alexandria via LeMat-Bulk.

The formation enthalpy at 0 K is 0.091 eV per atom. The value obtained for the total moment is 0.000 μB/f.u.

Lattice parameters (Å, degrees): 9.595 15.727 5.640 90.00 125.74 90.00
Space group C2/m (No. 12)
Inequivalent atoms, fractional coordinates:
Li: 0.183 0.125 0.183
Li: 0.187 0.000 0.689
Ca: 0.000 0.208 0.500
Ca: 0.000 0.349 0.000
Ca: 0.000 0.500 0.500

---

# 3
The following is a PBE calculation of crystalline Sr2CaInAu at its relaxed geometry, from Alexandria via LeMat-Bulk.

The formation enthalpy at 0 K is 0.378 eV per atom. The value obtained for the total moment is 0.000 μB/f.u.

Lattice parameters (Å, degrees): 7.458 7.458 6.911 90.00 90.00 90.00
Space group P4/mmm (No. 123)
Inequivalent atoms, fractional coordinates:
Sr: 0.000 0.500 0.000
Ca: 0.000 0.000 0.500
In: 0.500 0.500 0.500
Au: 0.000 0.000 0.000

---

# 4
The following is a PBE calculation of crystalline SrSmAs2 at its relaxed geometry, from Alexandria via LeMat-Bulk.

The formation enthalpy at 0 K is -1.113 eV per atom. The value obtained for the total moment is 0.000 μB/f.u.

Lattice parameters (Å, degrees): 4.2535 4.2535 22.5964 90.00 90.00 120.00
Space group R3m (No. 160, hexagonal axes)
Inequivalent atoms, fractional coordinates:
Sr: 0.0000 0.0000 0.0000
Sm: 0.0000 0.0000 0.8275
As: 0.0000 0.0000 0.2386
As: 0.0000 0.0000 0.4212

---

# 5
The following is a PBE calculation of crystalline CeTmGe2Rh5 at its relaxed geometry, from Alexandria via LeMat-Bulk.

The formation enthalpy at 0 K is -0.398 eV per atom. The value obtained for the total moment is 0.000 μB/f.u.

Lattice parameters (Å, degrees): 3.919 3.919 11.811 90.00 90.00 90.00
Space group P4/mmm (No. 123)
Inequivalent atoms, fractional coordinates:
Ce: 0.000 0.000 0.000
Tm: 0.500 0.500 0.500
Ge: 0.000 0.000 0.298
Rh: 0.000 0.000 0.500
Rh: 0.000 0.500 0.170

---

# 6
The following is a PBE calculation of crystalline TeIr2Rh at its relaxed geometry, from Alexandria via LeMat-Bulk.

The value obtained for the total moment is 0.000 μB/f.u. The total energy comes out at -6.705 eV per atom.

Lattice parameters (Å, degrees): 5.474 9.745 2.938 90.00 122.48 90.00
Space group C2/m (No. 12)
Inequivalent atoms, fractional coordinates:
Te: 0.000 0.000 0.000
Ir: 0.250 0.250 0.500
Rh: 0.000 0.500 0.000